Entry 1:
## SrV2GeO8 (PBE with a Hubbard U)

Data for a relaxed SrV2GeO8 crystal.

Lattice parameters (Å, degrees): 5.453 5.453 6.807 90.00 90.00 120.00
Positions (direct):
Sr 0.000 0.000 0.000
V 0.333 0.667 0.743
V 0.667 0.333 0.257
Ge 0.000 0.000 0.500
O 0.112 0.311 0.672
O 0.199 0.888 0.672
O 0.311 0.199 0.328
O 0.333 0.667 0.988
O 0.667 0.333 0.012
O 0.689 0.801 0.672
O 0.801 0.112 0.328
O 0.888 0.689 0.328

Computed properties:
* uncorrected energy: -85.41 eV per cell
* SG: P-3
* Fermi-level density of states: 0.000 states/eV/cell


Entry 2:
## Sr3VGe2O8 (PBE with a Hubbard U)

Data for a relaxed Sr3VGe2O8 crystal.

Lattice parameters (Å, degrees): 5.685 5.685 7.180 90.00 90.00 120.00
Positions (direct):
Sr 0.000 0.000 0.000
Sr 0.333 0.667 0.649
Sr 0.667 0.333 0.351
V 0.000 0.000 0.500
Ge 0.333 0.667 0.208
Ge 0.667 0.333 0.792
O 0.168 0.336 0.309
O 0.168 0.832 0.309
O 0.333 0.667 0.969
O 0.336 0.168 0.691
O 0.664 0.832 0.309
O 0.667 0.333 0.031
O 0.832 0.168 0.691
O 0.832 0.664 0.691

Computed properties:
* uncorrected energy: -93.38 eV per cell
* SG: P-3m1


Entry 3:
## Sr3VGe2O9 (PBE with a Hubbard U)

Data for a relaxed Sr3VGe2O9 crystal.

Lattice parameters (Å, degrees): 5.477 5.477 6.725 90.00 90.00 120.00
Positions (direct):
Sr 0.000 0.000 0.000
Sr 0.333 0.667 0.669
Sr 0.667 0.333 0.331
V 0.000 0.000 0.500
Ge 0.333 0.667 0.166
Ge 0.667 0.333 0.834
O 0.000 0.500 0.000
O 0.169 0.338 0.330
O 0.169 0.831 0.330
O 0.338 0.169 0.670
O 0.500 0.000 0.000
O 0.500 0.500 0.000
O 0.662 0.831 0.330
O 0.831 0.169 0.670
O 0.831 0.662 0.670

Computed properties:
* uncorrected energy: -100.40 eV per cell
* SG: P-3m1
* Fermi-level density of states: 3.923 states/eV/cell


Entry 4:
## Sr2VGeO6 (PBE with a Hubbard U)

Data for a relaxed Sr2VGeO6 crystal.

Lattice parameters (Å, degrees): 5.481 5.481 5.481 119.31 119.31 91.20
Positions (direct):
Sr 0.250 0.750 0.500
Sr 0.750 0.250 0.500
V 0.000 0.000 0.000
Ge 0.500 0.500 0.000
O 0.246 0.246 0.000
O 0.257 0.257 0.513
O 0.257 0.743 0.000
O 0.743 0.257 0.000
O 0.743 0.743 0.487
O 0.754 0.754 0.000

Computed properties:
* uncorrected energy: -68.65 eV per cell
* SG: I4/mmm


Entry 5:
## SrVGeO5 (PBE with a Hubbard U)

Data for a relaxed SrVGeO5 crystal.

Lattice parameters (Å, degrees): 5.735 5.735 7.199 103.78 103.78 106.36
Positions (direct):
Sr 0.169 0.831 0.750
Sr 0.831 0.169 0.250
V 0.500 0.500 0.000
V 0.500 0.500 0.500
Ge 0.188 0.812 0.250
Ge 0.812 0.188 0.750
O 0.128 0.259 0.914
O 0.196 0.604 0.398
O 0.259 0.128 0.414
O 0.396 0.804 0.102
O 0.447 0.553 0.750
O 0.553 0.447 0.250
O 0.604 0.196 0.898
O 0.741 0.872 0.586
O 0.804 0.396 0.602
O 0.872 0.741 0.086

Computed properties:
* uncorrected energy: -112.71 eV per cell
* SG: C2/c


Entry 6:
## SrGeWO6 (PBE with a Hubbard U)

Data for a relaxed SrGeWO6 crystal.

Lattice parameters (Å, degrees): 4.915 4.915 9.495 90.00 90.00 90.00
Positions (direct):
Sr 0.000 0.000 0.000
Sr 0.500 0.500 0.500
Ge 0.000 0.000 0.329
Ge 0.500 0.500 0.829
W 0.000 0.000 0.665
W 0.500 0.500 0.165
O 0.164 0.164 0.492
O 0.222 0.222 0.194
O 0.223 0.223 0.790
O 0.277 0.723 0.290
O 0.278 0.722 0.694
O 0.336 0.664 0.992
O 0.664 0.336 0.992
O 0.722 0.278 0.694
O 0.723 0.277 0.290
O 0.777 0.777 0.790
O 0.778 0.778 0.194
O 0.836 0.836 0.492

Computed properties:
* uncorrected energy: -122.15 eV per cell
* SG: P4_2nm
* Fermi-level density of states: 0.000 states/eV/cell